VASP calculation (PBE) on an optimized crystal structure of Bi2PbAu.

Cell: 3.8038 3.8038 7.8302 Å, 90.00 90.00 90.00°
Closest atoms and distances in Å follow each position.
Fractional positions:
Bi1 0.0000 0.0000 0.2075  4 Au 3.14, 1 Bi 3.25
Bi2 0.0000 0.0000 0.7925  4 Au 3.14, 1 Bi 3.25
Au1 0.5000 0.5000 0.0000  8 Bi 3.14
Pb1 0.5000 0.5000 0.5000  8 Bi 3.53, 4 Pb 3.80, 2 Au 3.92

Output
Crystal system   tetragonal
Symmetry   No. 123
Density of states at the Fermi level   0.635 states/eV per atom
Formation enthalpy at 0 K   61 meV per atom